No. 1
PrHoZnGe: optimized geometry, PBE.

Cell: 4.137 4.254 11.244 Å, 90.00 90.00 90.00°
Space group Amm2 (No. 38)
One atom of each set of equivalent atoms:
Pr (0.000, 0.000, 0.000) [2 per cell]
Ho (0.500, 0.000, 0.283) [2 per cell]
Zn (0.500, 0.000, 0.577) [2 per cell]
Ge (0.000, 0.000, 0.723) [2 per cell]

Output
- Offset from the most stable computed form: 0.0000 eV per atom
- E_form: -585 meV/atom
- E_tot: -4.40 eV per atom

No. 2
Li2AlCuH: optimized geometry, PBE.

Cell: 3.805 3.805 3.926 Å, 90.00 90.00 90.00°
Space group P4/mmm (No. 123)
One atom of each set of equivalent atoms:
Li (0.000, 0.500, 0.000) [2 per cell]
Al (0.000, 0.000, 0.500) [1 per cell]
Cu (0.500, 0.500, 0.500) [1 per cell]
H (0.500, 0.500, 0.000) [1 per cell]

Output
- Offset from the most stable computed form: 0.0040 eV per atom
- E_tot: -3.11 eV per atom

No. 3
Dy3Ga6Rh5: optimized geometry, PBE.

Cell: 4.225 12.476 9.375 Å, 90.00 90.00 90.00°
Space group Pmmn (No. 59, origin choice 2)
One atom of each set of equivalent atoms:
Dy (0.250, 0.053, 0.249) [4 per cell]
Dy (0.250, 0.750, 0.238) [2 per cell]
Ga (0.250, 0.072, 0.906) [4 per cell]
Ga (0.250, 0.250, 0.078) [2 per cell]
Ga (0.250, 0.250, 0.456) [2 per cell]
Ga (0.250, 0.596, 0.520) [4 per cell]
Rh (0.250, 0.096, 0.634) [4 per cell]
Rh (0.250, 0.634, 0.965) [4 per cell]
Rh (0.250, 0.750, 0.710) [2 per cell]

Output
- E_form: -794 meV/atom
- E_tot: -5.70 eV per atom

No. 4
KCr2CdSb: optimized geometry, PBE.

Cell: 5.473 5.473 5.499 Å, 90.00 90.00 90.00°
Space group P4/mmm (No. 123)
One atom of each set of equivalent atoms:
K (0.000, 0.000, 0.000) [1 per cell]
Cr (0.000, 0.500, 0.000) [2 per cell]
Cd (0.000, 0.000, 0.500) [1 per cell]
Sb (0.500, 0.500, 0.500) [1 per cell]

Output
- ΔE_f (raw): 1.72 eV/atom
- E_tot: -3.36 eV per atom

No. 5
Ti2GeW2: optimized geometry, PBE.

Cell: 6.555 6.555 3.849 Å, 90.00 90.00 90.00°
Space group P4/mbm (No. 127)
One atom of each set of equivalent atoms:
Ti (0.139, 0.361, 0.000) [4 per cell]
Ge (0.000, 0.000, 0.000) [2 per cell]
W (0.174, 0.674, 0.500) [4 per cell]

Output
- Offset from the most stable computed form: 0.0000 eV per atom
- E_form: 423 meV/atom
- E_tot: -8.84 eV per atom

No. 6
SrTaAg: optimized geometry, PBE.

Cell: 4.084 4.084 8.598 Å, 90.00 90.00 90.00°
Space group P4/nmm (No. 129, origin choice 2)
One atom of each set of equivalent atoms:
Sr (0.250, 0.750, 0.000) [2 per cell]
Ta (0.250, 0.250, 0.422) [2 per cell]
Ag (0.250, 0.250, 0.724) [2 per cell]

Output
- Offset from the most stable computed form: 0.8704 eV per atom
- E_form: 1101 meV/atom
- E_tot: -4.36 eV per atom